Run A
# HoTm4Te5 PBE optimized geometry
data_HoTm4Te5
_chemical_formula_sum 'Ho1 Tm4 Te5'
_cell_length_a 4.256
_cell_length_b 4.256
_cell_length_c 15.947
_cell_angle_alpha 97.67
_cell_angle_beta 97.67
_cell_angle_gamma 90.00
_symmetry_space_group_name_H-M 'P 1'
_symmetry_Int_Tables_number 1
_symmetry_space_group_name_Hall 'P 1'
loop_
_atom_site_label
_atom_site_type_symbol
_atom_site_fract_x
_atom_site_fract_y
_atom_site_fract_z
Ho1 Ho 0.000 0.000 0.000
Te1 Te 0.104 0.104 0.207
Te2 Te 0.500 0.500 0.000
Tm1 Tm 0.593 0.593 0.186
Tm2 Tm 0.211 0.211 0.423
Te3 Te 0.896 0.896 0.793
Tm3 Tm 0.789 0.789 0.577
Te4 Te 0.692 0.692 0.384
Tm4 Tm 0.407 0.407 0.814
Te5 Te 0.308 0.308 0.616
# Magnetization = 0.000 μB per formula unit



Run B
# HoTm4Te5 PBE optimized geometry
data_HoTm4Te5
_chemical_formula_sum 'Ho1 Tm4 Te5'
_cell_length_a 6.099
_cell_length_b 7.458
_cell_length_c 7.458
_cell_angle_alpha 80.37
_cell_angle_beta 65.86
_cell_angle_gamma 65.86
_symmetry_space_group_name_H-M 'P 1'
_symmetry_Int_Tables_number 1
_symmetry_space_group_name_Hall 'P 1'
loop_
_atom_site_label
_atom_site_type_symbol
_atom_site_fract_x
_atom_site_fract_y
_atom_site_fract_z
Te1 Te 0.696 0.208 0.402
Te2 Te 0.097 0.598 0.208
Te3 Te 0.904 0.402 0.792
Tm1 Tm 0.397 0.398 0.810
Tm2 Tm 0.207 0.190 0.398
Tm3 Tm 0.604 0.602 0.190
Tm4 Tm 0.794 0.810 0.602
Te4 Te 0.306 0.792 0.598
Te5 Te 0.503 0.000 0.000
Ho1 Ho 0.003 0.000 0.000
# Magnetization = 0.000 μB per formula unit



Which is most stable, and by how much? run A, by 6 meV per atom.



Run A
# Ho3TmTe4 PBE optimized geometry
data_Ho3TmTe4
_chemical_formula_sum 'Ho6 Tm2 Te8'
_cell_length_a 8.215
_cell_length_b 7.820
_cell_length_c 9.300
_cell_angle_alpha 90.00
_cell_angle_beta 90.00
_cell_angle_gamma 90.00
_symmetry_space_group_name_H-M 'P 1'
_symmetry_Int_Tables_number 1
_symmetry_space_group_name_Hall 'P 1'
loop_
_atom_site_label
_atom_site_type_symbol
_atom_site_fract_x
_atom_site_fract_y
_atom_site_fract_z
Te1 Te 0.106 0.771 0.500
Te2 Te 0.719 0.154 0.500
Tm1 Tm 0.459 0.885 0.500
Te3 Te 0.607 0.650 0.278
Ho1 Ho 0.594 0.844 0.000
Ho2 Ho 0.962 0.710 0.201
Te4 Te 0.107 0.350 0.222
Ho3 Ho 0.094 0.156 0.500
Te5 Te 0.607 0.650 0.722
Ho4 Ho 0.462 0.290 0.299
Ho5 Ho 0.962 0.710 0.799
Te6 Te 0.219 0.846 0.000
Tm2 Tm 0.959 0.115 0.000
Ho6 Ho 0.462 0.290 0.701
Te7 Te 0.606 0.229 0.000
Te8 Te 0.107 0.350 0.778
# Magnetization = 2.027 μB per formula unit



Run B
# Ho3TmTe4 PBE optimized geometry
data_Ho3TmTe4
_chemical_formula_sum 'Ho3 Tm1 Te4'
_cell_length_a 4.261
_cell_length_b 7.531
_cell_length_c 7.531
_cell_angle_alpha 108.69
_cell_angle_beta 90.00
_cell_angle_gamma 90.00
_symmetry_space_group_name_H-M 'P 1'
_symmetry_Int_Tables_number 1
_symmetry_space_group_name_Hall 'P 1'
loop_
_atom_site_label
_atom_site_type_symbol
_atom_site_fract_x
_atom_site_fract_y
_atom_site_fract_z
Ho1 Ho 0.000 0.500 0.000
Ho2 Ho 0.000 0.000 0.500
Tm1 Tm 0.500 0.000 0.000
Ho3 Ho 0.500 0.500 0.500
Te1 Te 0.000 0.248 0.248
Te2 Te 0.500 0.751 0.249
Te3 Te 0.500 0.249 0.751
Te4 Te 0.000 0.752 0.752
# Magnetization = 0.000 μB per formula unit



Which is most stable, and by how much? run B, by 302 meV per atom.



Run A
# HoTmTe2 PBE optimized geometry
data_HoTmTe2
_chemical_formula_sum 'Ho1 Tm1 Te2'
_cell_length_a 4.155
_cell_length_b 4.155
_cell_length_c 8.006
_cell_angle_alpha 74.96
_cell_angle_beta 74.96
_cell_angle_gamma 60.00
_symmetry_space_group_name_H-M 'P 1'
_symmetry_Int_Tables_number 1
_symmetry_space_group_name_Hall 'P 1'
loop_
_atom_site_label
_atom_site_type_symbol
_atom_site_fract_x
_atom_site_fract_y
_atom_site_fract_z
Te1 Te 0.252 0.252 0.244
Ho1 Ho 0.497 0.497 0.509
Te2 Te 0.081 0.081 0.756
Tm1 Tm 0.670 0.670 0.991
# Magnetization = 0.000 μB per formula unit



Run B
# HoTmTe2 PBE optimized geometry
data_HoTmTe2
_chemical_formula_sum 'Ho1 Tm1 Te2'
_cell_length_a 4.319
_cell_length_b 4.319
_cell_length_c 7.472
_cell_angle_alpha 73.20
_cell_angle_beta 73.20
_cell_angle_gamma 60.00
_symmetry_space_group_name_H-M 'P 1'
_symmetry_Int_Tables_number 1
_symmetry_space_group_name_Hall 'P 1'
loop_
_atom_site_label
_atom_site_type_symbol
_atom_site_fract_x
_atom_site_fract_y
_atom_site_fract_z
Te1 Te 0.249 0.249 0.253
Tm1 Tm 0.500 0.500 0.500
Te2 Te 0.751 0.751 0.747
Ho1 Ho 0.000 0.000 0.000
# Magnetization = 0.000 μB per formula unit



Run C
# HoTmTe2 PBE optimized geometry
data_HoTmTe2
_chemical_formula_sum 'Ho1 Tm1 Te2'
_cell_length_a 3.755
_cell_length_b 5.313
_cell_length_c 5.313
_cell_angle_alpha 90.00
_cell_angle_beta 90.00
_cell_angle_gamma 90.00
_symmetry_space_group_name_H-M 'P 1'
_symmetry_Int_Tables_number 1
_symmetry_space_group_name_Hall 'P 1'
loop_
_atom_site_label
_atom_site_type_symbol
_atom_site_fract_x
_atom_site_fract_y
_atom_site_fract_z
Te1 Te 0.000 0.000 0.500
Ho1 Ho 0.500 0.000 0.000
Te2 Te 0.000 0.500 0.000
Tm1 Tm 0.500 0.500 0.500
# Magnetization = 1.126 μB per formula unit



Which is most stable, and by how much? run A, by 37 meV per atom.



Run A
# HoTmTe2 PBE optimized geometry
data_HoTmTe2
_chemical_formula_sum 'Ho2 Tm2 Te4'
_cell_length_a 4.415
_cell_length_b 6.793
_cell_length_c 9.677
_cell_angle_alpha 89.76
_cell_angle_beta 89.95
_cell_angle_gamma 89.93
_symmetry_space_group_name_H-M 'P 1'
_symmetry_Int_Tables_number 1
_symmetry_space_group_name_Hall 'P 1'
loop_
_atom_site_label
_atom_site_type_symbol
_atom_site_fract_x
_atom_site_fract_y
_atom_site_fract_z
Te1 Te 0.701 0.528 0.697
Te2 Te 0.201 0.029 0.519
Tm1 Tm 0.700 0.446 0.023
Te3 Te 0.201 0.169 0.933
Ho1 Ho 0.701 0.288 0.428
Te4 Te 0.703 0.671 0.281
Ho2 Ho 0.200 0.785 0.788
Tm2 Tm 0.202 0.951 0.194
# Magnetization = 0.000 μB per formula unit



Run B
# HoTmTe2 PBE optimized geometry
data_HoTmTe2
_chemical_formula_sum 'Ho1 Tm1 Te2'
_cell_length_a 5.313
_cell_length_b 5.313
_cell_length_c 5.313
_cell_angle_alpha 60.00
_cell_angle_beta 60.00
_cell_angle_gamma 60.00
_symmetry_space_group_name_H-M 'P 1'
_symmetry_Int_Tables_number 1
_symmetry_space_group_name_Hall 'P 1'
loop_
_atom_site_label
_atom_site_type_symbol
_atom_site_fract_x
_atom_site_fract_y
_atom_site_fract_z
Te1 Te 0.750 0.750 0.750
Tm1 Tm 0.500 0.500 0.500
Ho1 Ho 0.000 0.000 0.000
Te2 Te 0.250 0.250 0.250
# Magnetization = 1.191 μB per formula unit



Which is most stable, and by how much? run B, by 213 meV per atom.



Run A
# YHo3Te6 PBE optimized geometry
data_YHo3Te6
_chemical_formula_sum 'Y2 Ho6 Te12'
_cell_length_a 4.340
_cell_length_b 12.444
_cell_length_c 12.765
_cell_angle_alpha 109.37
_cell_angle_beta 90.00
_cell_angle_gamma 90.00
_symmetry_space_group_name_H-M 'P 1'
_symmetry_Int_Tables_number 1
_symmetry_space_group_name_Hall 'P 1'
loop_
_atom_site_label
_atom_site_type_symbol
_atom_site_fract_x
_atom_site_fract_y
_atom_site_fract_z
Ho1 Ho 0.750 0.156 0.080
Te1 Te 0.250 0.607 0.938
Te2 Te 0.750 0.111 0.467
Ho2 Ho 0.750 0.431 0.834
Te3 Te 0.750 0.393 0.062
Te4 Te 0.250 0.192 0.250
Te5 Te 0.750 0.748 0.280
Y1 Y 0.750 0.044 0.694
Ho3 Ho 0.750 0.684 0.502
Te6 Te 0.750 0.483 0.618
Ho4 Ho 0.250 0.569 0.166
Te7 Te 0.250 0.252 0.720
Te8 Te 0.750 0.808 0.750
Ho5 Ho 0.250 0.316 0.498
Te9 Te 0.250 0.084 0.899
Te10 Te 0.750 0.916 0.101
Te11 Te 0.250 0.889 0.533
Y2 Y 0.250 0.956 0.306
Te12 Te 0.250 0.517 0.382
Ho6 Ho 0.250 0.844 0.920
# Magnetization = 0.000 μB per formula unit



Run B
# YHo3Te6 PBE optimized geometry
data_YHo3Te6
_chemical_formula_sum 'Y2 Ho6 Te12'
_cell_length_a 8.998
_cell_length_b 8.998
_cell_length_c 8.998
_cell_angle_alpha 90.50
_cell_angle_beta 90.50
_cell_angle_gamma 90.50
_symmetry_space_group_name_H-M 'P 1'
_symmetry_Int_Tables_number 1
_symmetry_space_group_name_Hall 'P 1'
loop_
_atom_site_label
_atom_site_type_symbol
_atom_site_fract_x
_atom_site_fract_y
_atom_site_fract_z
Te1 Te 0.462 0.591 0.822
Ho1 Ho 0.082 0.243 0.575
Ho2 Ho 0.757 0.425 0.918
Te2 Te 0.409 0.178 0.538
Te3 Te 0.683 0.088 0.909
Ho3 Ho 0.243 0.575 0.082
Ho4 Ho 0.425 0.918 0.757
Te4 Te 0.591 0.822 0.462
Te5 Te 0.088 0.909 0.683
Te6 Te 0.912 0.091 0.317
Te7 Te 0.822 0.462 0.591
Te8 Te 0.909 0.683 0.088
Ho5 Ho 0.918 0.757 0.425
Y1 Y 0.500 0.500 0.500
Te9 Te 0.538 0.409 0.178
Te10 Te 0.178 0.538 0.409
Te11 Te 0.317 0.912 0.091
Ho6 Ho 0.575 0.082 0.243
Y2 Y 0.000 0.000 0.000
Te12 Te 0.091 0.317 0.912
# Magnetization = 0.000 μB per formula unit



Which is most stable, and by how much? run A, by 41 meV per atom.



Run A
# YHoTe PBE optimized geometry
data_YHoTe
_chemical_formula_sum 'Y1 Ho1 Te1'
_cell_length_a 3.863
_cell_length_b 3.863
_cell_length_c 6.384
_cell_angle_alpha 107.61
_cell_angle_beta 107.61
_cell_angle_gamma 90.00
_symmetry_space_group_name_H-M 'P 1'
_symmetry_Int_Tables_number 1
_symmetry_space_group_name_Hall 'P 1'
loop_
_atom_site_label
_atom_site_type_symbol
_atom_site_fract_x
_atom_site_fract_y
_atom_site_fract_z
Y1 Y 0.010 0.010 0.020
Ho1 Ho 0.322 0.322 0.645
Te1 Te 0.667 0.667 0.335
# Magnetization = 0.000 μB per formula unit



Run B
# YHoTe PBE optimized geometry
data_YHoTe
_chemical_formula_sum 'Y4 Ho4 Te4'
_cell_length_a 3.948
_cell_length_b 8.223
_cell_length_c 10.606
_cell_angle_alpha 90.00
_cell_angle_beta 90.00
_cell_angle_gamma 90.00
_symmetry_space_group_name_H-M 'P 1'
_symmetry_Int_Tables_number 1
_symmetry_space_group_name_Hall 'P 1'
loop_
_atom_site_label
_atom_site_type_symbol
_atom_site_fract_x
_atom_site_fract_y
_atom_site_fract_z
Y1 Y 0.750 0.000 0.662
Te1 Te 0.750 0.201 0.170
Y2 Y 0.250 0.000 0.338
Ho1 Ho 0.250 0.157 0.945
Te2 Te 0.250 0.799 0.830
Te3 Te 0.250 0.299 0.670
Ho2 Ho 0.250 0.657 0.555
Y3 Y 0.250 0.500 0.162
Y4 Y 0.750 0.500 0.838
Te4 Te 0.750 0.701 0.330
Ho3 Ho 0.750 0.343 0.445
Ho4 Ho 0.750 0.843 0.055
# Magnetization = 0.000 μB per formula unit



Run C
# YHoTe PBE optimized geometry
data_YHoTe
_chemical_formula_sum 'Y1 Ho1 Te1'
_cell_length_a 3.986
_cell_length_b 5.142
_cell_length_c 5.142
_cell_angle_alpha 120.00
_cell_angle_beta 90.00
_cell_angle_gamma 90.00
_symmetry_space_group_name_H-M 'P 1'
_symmetry_Int_Tables_number 1
_symmetry_space_group_name_Hall 'P 1'
loop_
_atom_site_label
_atom_site_type_symbol
_atom_site_fract_x
_atom_site_fract_y
_atom_site_fract_z
Te1 Te 0.329 0.667 0.333
Ho1 Ho 0.091 0.000 0.000
Y1 Y 0.580 0.333 0.667
# Magnetization = 0.000 μB per formula unit



Which is most stable, and by how much? run B, by 76 meV per atom.